Computed, not measured: an optimized crystal structure of PrNdNi2Sn at the PBE-GGA level of DFT.

abc: 3.8233 7.3750 7.3750
angles: 32.19 90.00 90.00
Closest atoms and distances in Å follow each position.
Element x y z (fractional)
1 Nd 0.0000 0.3649 0.3649  6 Ni 2.94-3.02
2 Ni 0.5000 0.2003 0.2003  2 Ni 2.50
3 Ni 0.5000 0.8013 0.8013  2 Ni 2.50
4 Pr 0.0000 0.6346 0.6346  6 Ni 2.95-3.04
5 Sn 0.5000 0.9989 0.9989  2 Ni 2.80-2.85

Calculated values
- Space group: Amm2
- Total energy: -5.45 eV/atom
- Magnetic moment: 0.01 μB/cell


Computed, not measured: an optimized crystal structure of Sc3Co4P4 at the PBE-GGA level of DFT.

abc: 7.1429 7.1429 7.1429
angles: 150.02 126.72 62.35
Closest atoms and distances in Å follow each position.
Element x y z (fractional)
1 Co 0.5231 0.3236 0.1995  4 P 2.24-2.31
2 Co 0.8759 0.6764 0.1995  4 P 2.24-2.31
3 Co 0.1241 0.3236 0.8005  4 P 2.24-2.31
4 Co 0.4769 0.6764 0.8005  4 P 2.24-2.31
5 P 0.7961 0.5000 0.2961  2 Co 2.24
6 P 0.7195 0.2195 0.5000  6 Co 2.31
7 P 0.2805 0.7805 0.5000  6 Co 2.31
8 P 0.2039 0.5000 0.7039  2 Co 2.24
9 Sc 0.1229 0.1229 0.0000  6 P 2.67-2.72, 6 Co 2.75-2.77
10 Sc 0.8771 0.8771 0.0000  6 P 2.67-2.72, 6 Co 2.75-2.77
11 Sc 0.5000 0.0000 0.5000  6 P 2.65-2.68

Calculated values
- Space group: Immm
- Total energy: -7.36 eV/atom
- Magnetic moment: 0.01 μB/cell


- total energy of number 1 (PrNdNi2Sn)?
  -5.45 eV/atom